LaRuO4: optimized geometry, GGA-PBE.

Calculated values
Calculated total energy: -183.91 eV for the cell shown
Distance to the lowest polymorph of the same formula: 0.0 kJ per mole of atoms
Space group: P2_1/c, No. 14
E_form (uncorrected): -1.9902 eV per atom

Structure (CIF):
```
data_LaRuO4
_space_group_name_H-M_alt 'P 1'
_space_group_IT_number 1
_cell_length_a 5.565
_cell_length_b 7.731
_cell_length_c 7.702
_cell_angle_alpha 102.43
_cell_angle_beta 90.00
_cell_angle_gamma 90.00
loop_
_space_group_symop_operation_xyz
'x,y,z'
loop_
_atom_site_label
_atom_site_type_symbol
_atom_site_fract_x
_atom_site_fract_y
_atom_site_fract_z
La1 La 0.723 0.346 0.595
La2 La 0.777 0.346 0.095
La3 La 0.223 0.654 0.905
La4 La 0.277 0.654 0.405
Ru1 Ru 0.235 0.162 0.793
Ru2 Ru 0.265 0.162 0.293
Ru3 Ru 0.735 0.838 0.707
Ru4 Ru 0.765 0.838 0.207
O1 O 0.949 0.033 0.709
O2 O 0.551 0.033 0.209
O3 O 0.343 0.168 0.547
O4 O 0.157 0.168 0.047
O5 O 0.493 0.334 0.866
O6 O 0.020 0.378 0.826
O7 O 0.007 0.334 0.366
O8 O 0.480 0.378 0.326
O9 O 0.520 0.622 0.674
O10 O 0.993 0.666 0.634
O11 O 0.980 0.622 0.174
O12 O 0.507 0.666 0.134
O13 O 0.843 0.832 0.953
O14 O 0.657 0.832 0.453
O15 O 0.449 0.967 0.791
O16 O 0.051 0.967 0.291
```

---

Ca4SnHg5: optimized geometry, GGA-PBE.

Calculated values
Calculated total energy: -18.25 eV for the cell shown
Space group: P4/mmm, No. 123
E_form: -0.4730 eV per atom

Structure (CIF):
```
data_Ca4SnHg5
_space_group_name_H-M_alt 'P 1'
_space_group_IT_number 1
_cell_length_a 3.831
_cell_length_b 3.831
_cell_length_c 18.233
_cell_angle_alpha 90.00
_cell_angle_beta 90.00
_cell_angle_gamma 90.00
loop_
_space_group_symop_operation_xyz
'x,y,z'
loop_
_atom_site_label
_atom_site_type_symbol
_atom_site_fract_x
_atom_site_fract_y
_atom_site_fract_z
Ca1 Ca 0.000 0.000 0.192
Ca2 Ca 0.000 0.000 0.398
Ca3 Ca 0.000 0.000 0.602
Ca4 Ca 0.000 0.000 0.808
Sn1 Sn 0.000 0.000 0.000
Hg1 Hg 0.500 0.500 0.097
Hg2 Hg 0.500 0.500 0.295
Hg3 Hg 0.500 0.500 0.500
Hg4 Hg 0.500 0.500 0.705
Hg5 Hg 0.500 0.500 0.903
```

---

SrCaH8Pt2: optimized geometry, GGA-PBE.

Calculated values
Calculated total energy: -45.14 eV for the cell shown
Space group: P-3m1, No. 164

Structure (CIF):
```
data_SrCaH8Pt2
_space_group_name_H-M_alt 'P 1'
_space_group_IT_number 1
_cell_length_a 4.261
_cell_length_b 4.261
_cell_length_c 9.131
_cell_angle_alpha 90.00
_cell_angle_beta 90.00
_cell_angle_gamma 120.00
loop_
_space_group_symop_operation_xyz
'x,y,z'
loop_
_atom_site_label
_atom_site_type_symbol
_atom_site_fract_x
_atom_site_fract_y
_atom_site_fract_z
Sr1 Sr 0.000 0.000 0.000
Ca1 Ca 0.000 0.000 0.500
H1 H 0.333 0.667 0.925
H2 H 0.481 0.519 0.363
H3 H 0.481 0.962 0.363
H4 H 0.667 0.333 0.075
H5 H 0.519 0.038 0.637
H6 H 0.519 0.481 0.637
H7 H 0.962 0.481 0.637
H8 H 0.038 0.519 0.363
Pt1 Pt 0.667 0.333 0.264
Pt2 Pt 0.333 0.667 0.736
```

---

Ti2RhSe6: optimized geometry, GGA-PBE.

Calculated values
Calculated total energy: -51.98 eV for the cell shown
Distance to the lowest polymorph of the same formula: 0.0 kJ per mole of atoms
Space group: C2/m, No. 12
E_form (uncorrected): -0.8816 eV per atom

Structure (CIF):
```
data_Ti2RhSe6
_space_group_name_H-M_alt 'P 1'
_space_group_IT_number 1
_cell_length_a 3.539
_cell_length_b 7.930
_cell_length_c 8.592
_cell_angle_alpha 115.04
_cell_angle_beta 101.88
_cell_angle_gamma 90.00
loop_
_space_group_symop_operation_xyz
'x,y,z'
loop_
_atom_site_label
_atom_site_type_symbol
_atom_site_fract_x
_atom_site_fract_y
_atom_site_fract_z
Ti1 Ti 0.845 0.688 0.689
Ti2 Ti 0.155 0.312 0.311
Rh1 Rh 0.500 0.000 0.000
Se1 Se 0.335 0.908 0.670
Se2 Se 0.996 0.224 0.991
Se3 Se 0.670 0.559 0.340
Se4 Se 0.004 0.776 0.009
Se5 Se 0.665 0.092 0.330
Se6 Se 0.330 0.441 0.660
```